A relaxed structure of CeBr3Cl, computed with PBE.

Summary:
- SG = C2/m
- theoretical density (Mg/m³) = 4.42
- total energy (eV/atom) = -4.1801
- magnetization (μB per formula unit) = 0.0
- calculated volume (Å³ per atom) = 31.21
- formation energy without anion corrections (eV/atom) = -1.62

Cell: 7.363 7.363 7.463 Å, 108.48 113.85 105.60°
Fractional coordinates of all 10 atoms:
1 Ce 0.621 0.758 0.378
2 Ce 0.379 0.242 0.622
3 Br 0.864 0.055 0.296
4 Br 0.242 0.432 0.296
5 Br 0.758 0.568 0.704
6 Br 0.699 0.438 0.137
7 Br 0.136 0.945 0.704
8 Br 0.301 0.562 0.863
9 Cl 0.685 0.060 0.745
10 Cl 0.315 0.940 0.255